Entry 1:
# V2AgF8

A relaxed V2AgF8 crystal (GGA+U, the Alexandria database).

Lattice parameters (Å, degrees): 5.3480 6.1589 6.1589 60.56 94.22 94.22
Last column: magnetic moment on the atom in μB.
Element x y z (fractional)
V 0.4985 0.7379 0.7379  1.53
V 0.5015 0.2621 0.2621  1.53
Ag 0.0000 0.0000 0.0000  -0.02
F 0.3430 0.3852 0.9243  -0.01
F 0.6570 0.0757 0.6148  -0.01
F 0.2193 0.8316 0.8316  -0.03
F 0.7807 0.1684 0.1684  -0.03
F 0.3430 0.9243 0.3852  -0.01
F 0.6570 0.6148 0.0757  -0.01
F 0.7285 0.6237 0.6237  -0.04
F 0.2715 0.3763 0.3763  -0.04

calculated volume	176	Å³ per cell
excess energy over the best structure of this formula in the dataset	0	meV per atom
theoretical density	3.4	Mg/m³
E_tot	-5.34	eV/atom

---

Entry 2:
# VAg2F5

A relaxed VAg2F5 crystal (GGA+U, the Alexandria database).

Lattice parameters (Å, degrees): 4.0909 6.6089 10.5431 90.00 90.00 108.03
Last column: magnetic moment on the atom in μB.
Element x y z (fractional)
V 0.8319 0.6638 0.7500  1.91
V 0.1681 0.3362 0.2500  1.91
Ag 0.8747 0.7495 0.3956  0.00
Ag 0.8747 0.7495 0.1044  0.00
Ag 0.1253 0.2505 0.6044  0.00
Ag 0.1253 0.2505 0.8956  0.00
F 0.9396 0.8792 0.8816  0.00
F 0.9396 0.8792 0.6184  0.00
F 0.2800 0.5601 0.3808  -0.01
F 0.2800 0.5601 0.1192  -0.01
F 0.6801 0.3603 0.2500  0.01
F 0.3199 0.6397 0.7500  0.01
F 0.7200 0.4399 0.6192  -0.01
F 0.7200 0.4399 0.8808  -0.01
F 0.0604 0.1208 0.1184  0.00
F 0.0604 0.1208 0.3816  0.00

calculated volume	271	Å³ per cell
excess energy over the best structure of this formula in the dataset	19	meV per atom
theoretical density	4.4	Mg/m³
E_tot	-4.75	eV/atom

---

Entry 3:
# VAg6F12

A relaxed VAg6F12 crystal (GGA+U, the Alexandria database).

Lattice parameters (Å, degrees): 6.7780 6.7780 6.7780 99.06 99.06 99.06
Last column: magnetic moment on the atom in μB.
Element x y z (fractional)
V 0.0000 0.0000 0.0000  1.03
Ag 0.1429 0.3081 0.5945  0.21
Ag 0.6919 0.4055 0.8571  0.21
Ag 0.4055 0.8571 0.6919  0.21
Ag 0.8571 0.6919 0.4055  0.21
Ag 0.3081 0.5945 0.1429  0.21
Ag 0.5945 0.1429 0.3081  0.21
F 0.4168 0.1662 0.6134  0.09
F 0.1662 0.6134 0.4168  0.09
F 0.6134 0.4168 0.1662  0.09
F 0.5832 0.8338 0.3866  0.09
F 0.8338 0.3866 0.5832  0.09
F 0.3866 0.5832 0.8338  0.09
F 0.0144 0.9413 0.7210  0.00
F 0.2790 0.9856 0.0587  0.00
F 0.0587 0.2790 0.9856  0.00
F 0.9856 0.0587 0.2790  0.00
F 0.7210 0.0144 0.9413  0.00
F 0.9413 0.7210 0.0144  0.00

calculated volume	298	Å³ per cell
theoretical density	5.2	Mg/m³
E_tot	-3.99	eV/atom

---

Entry 4:
# VAg4F7

A relaxed VAg4F7 crystal (GGA+U, the Alexandria database).

Lattice parameters (Å, degrees): 3.9843 6.8377 8.9400 118.10 102.88 90.00
Last column: magnetic moment on the atom in μB.
Element x y z (fractional)
V 0.0000 0.0000 0.0000  1.92
Ag 0.4237 0.5292 0.8475  0.00
Ag 0.5763 0.4708 0.1525  0.00
Ag 0.2885 0.8382 0.5769  -0.01
Ag 0.7115 0.1618 0.4231  -0.01
F 0.1271 0.1847 0.2542  -0.01
F 0.8729 0.8153 0.7458  -0.01
F 0.9924 0.2769 0.9847  -0.01
F 0.0076 0.7231 0.0153  -0.01
F 0.7016 0.7856 0.4033  0.00
F 0.5000 0.0000 0.0000  0.02
F 0.2984 0.2144 0.5967  0.00

calculated volume	208	Å³ per cell
theoretical density	4.9	Mg/m³
E_tot	-4.23	eV/atom

---

Entry 5:
# V2AgF8

A relaxed V2AgF8 crystal (GGA+U, the Alexandria database).

Lattice parameters (Å, degrees): 3.9444 6.5779 6.5779 82.57 72.56 72.56
Last column: magnetic moment on the atom in μB.
Element x y z (fractional)
F 0.1457 0.0263 0.6813  -0.02
F 0.1457 0.6813 0.0263  -0.02
F 0.8640 0.6355 0.6355  -0.01
F 0.5000 0.6810 0.3190  -0.01
F 0.5000 0.3190 0.6810  -0.01
F 0.1360 0.3645 0.3645  -0.01
F 0.8543 0.3187 0.9737  -0.02
F 0.8543 0.9737 0.3187  -0.02
Ag 0.5000 0.0000 0.0000  -0.01
V 0.0000 0.3184 0.6816  1.49
V 0.0000 0.6816 0.3184  1.49

calculated volume	155	Å³ per cell
excess energy over the best structure of this formula in the dataset	5	meV per atom
theoretical density	3.9	Mg/m³
E_tot	-5.34	eV/atom

---

Entry 6:
# VAgF3

A relaxed VAgF3 crystal (GGA+U, the Alexandria database).

Lattice parameters (Å, degrees): 4.1451 4.1451 4.1451 90.00 90.00 90.00
Last column: magnetic moment on the atom in μB.
Element x y z (fractional)
V 0.0000 0.0000 0.0000  2.61
Ag 0.5000 0.5000 0.5000  0.00
F 0.0000 0.5000 0.0000  0.01
F 0.0000 0.0000 0.5000  0.01
F 0.5000 0.0000 0.0000  0.01

calculated volume	71	Å³ per cell
excess energy over the best structure of this formula in the dataset	0	meV per atom
theoretical density	5.0	Mg/m³
E_tot	-5.13	eV/atom

---

Entry 7:
# VAg2F

A relaxed VAg2F crystal (GGA+U, the Alexandria database).

Lattice parameters (Å, degrees): 8.5820 8.5820 6.4276 48.12 48.12 90.00
Last column: magnetic moment on the atom in μB.
Element x y z (fractional)
V 0.0000 0.0000 0.0000  2.81
V 0.7500 0.2500 0.5000  2.81
Ag 0.5336 0.1250 0.2500  0.01
Ag 0.2164 0.6250 0.2500  0.01
Ag 0.3750 0.4664 0.7500  0.01
Ag 0.8750 0.7836 0.7500  0.01
F 0.5000 0.5000 0.0000  0.03
F 0.2500 0.7500 0.5000  0.03

calculated volume	156	Å³ per cell
excess energy over the best structure of this formula in the dataset	0	meV per atom
theoretical density	6.1	Mg/m³
E_tot	-3.91	eV/atom

---

Entry 8:
# VAg3F6

A relaxed VAg3F6 crystal (GGA+U, the Alexandria database).

Lattice parameters (Å, degrees): 5.6266 5.6266 6.4344 113.57 113.57 94.91
Last column: magnetic moment on the atom in μB.
Element x y z (fractional)
V 0.0000 0.0000 0.0000  1.91
Ag 0.7500 0.2500 0.5000  0.00
Ag 0.5000 0.5000 0.0000  0.00
Ag 0.2500 0.7500 0.5000  0.00
F 0.6847 0.6847 0.7334  -0.01
F 0.9513 0.9513 0.2666  -0.01
F 0.0487 0.0487 0.7334  -0.01
F 0.3153 0.3153 0.2666  -0.01
F 0.7596 0.2404 0.0000  0.01
F 0.2404 0.7596 0.0000  0.01

calculated volume	164	Å³ per cell
excess energy over the best structure of this formula in the dataset	28	meV per atom
theoretical density	5.0	Mg/m³
E_tot	-4.44	eV/atom

---

Entry 9:
# VAg6F8

A relaxed VAg6F8 crystal (GGA+U, the Alexandria database).

Lattice parameters (Å, degrees): 5.5380 6.1081 8.5355 119.04 79.18 106.41
Last column: magnetic moment on the atom in μB.
Element x y z (fractional)
V 0.5000 0.0000 0.0000  1.87
Ag 0.7424 0.7253 0.2002  0.00
Ag 0.6803 0.9968 0.5913  0.00
Ag 0.6889 0.4677 0.5767  0.00
Ag 0.2576 0.2747 0.7998  0.00
Ag 0.3197 0.0032 0.4087  0.00
Ag 0.3111 0.5323 0.4233  0.00
F 0.6804 0.1245 0.2170  -0.01
F 0.6079 0.6717 0.9005  -0.01
F 0.8032 0.1471 0.8887  0.00
F 0.3196 0.8755 0.7830  -0.01
F 0.3921 0.3283 0.0995  -0.01
F 0.1968 0.8529 0.1113  0.00
F 0.0469 0.3105 0.5780  0.00
F 0.9531 0.6895 0.4220  0.00

calculated volume	242	Å³ per cell
theoretical density	5.8	Mg/m³
E_tot	-4.02	eV/atom

---

Entry 10:
# VAg5F8

A relaxed VAg5F8 crystal (GGA+U, the Alexandria database).

Lattice parameters (Å, degrees): 6.6195 6.5875 6.3904 109.32 110.21 114.19
Last column: magnetic moment on the atom in μB.
Element x y z (fractional)
V 0.5297 0.7380 0.1972  1.94
Ag 0.6776 0.5909 0.7009  0.00
Ag 0.1854 0.0202 0.3944  0.00
Ag 0.2489 0.0822 0.9893  0.00
Ag 0.9965 0.4690 0.4882  -0.01
Ag 0.8010 0.2689 0.9076  -0.01
F 0.2999 0.4661 0.2520  0.00
F 0.7986 0.9217 0.5966  -0.01
F 0.7176 0.5551 0.1980  -0.01
F 0.5905 0.1063 0.3853  -0.01
F 0.3522 0.9167 0.6940  -0.01
F 0.1590 0.6737 0.0059  -0.01
F 0.7987 0.9716 0.1425  0.00
F 0.3443 0.4696 0.7981  -0.01

calculated volume	199	Å³ per cell
theoretical density	6.2	Mg/m³
E_tot	-4.11	eV/atom

---

Entry 11:
# V2AgF11

A relaxed V2AgF11 crystal (GGA+U, the Alexandria database).

Lattice parameters (Å, degrees): 9.3155 8.2708 8.2708 64.65 55.73 55.73
Last column: magnetic moment on the atom in μB.
Element x y z (fractional)
V 0.6459 0.6658 0.3342  0.00
V 0.3541 0.3342 0.6658  0.00
V 0.8541 0.1658 0.8342  0.00
V 0.1459 0.8342 0.1658  0.00
Ag 0.7500 0.7500 0.7500  0.11
Ag 0.2500 0.2500 0.2500  0.11
F 0.6106 0.6882 0.5617  0.00
F 0.3894 0.3118 0.4383  0.00
F 0.1395 0.5617 0.6882  0.00
F 0.8894 0.9383 0.8118  0.00
F 0.8605 0.4383 0.3118  0.00
F 0.1106 0.0617 0.1882  0.00
F 0.3605 0.8118 0.9383  0.00
F 0.6395 0.1882 0.0617  0.00
F 0.5000 0.5000 0.5000  0.00
F 0.0000 0.0000 0.0000  0.00
F 0.7787 0.8043 0.1957  0.00
F 0.2213 0.1957 0.8043  0.00
F 0.7213 0.3043 0.6957  0.00
F 0.2787 0.6957 0.3043  0.00
F 0.4195 0.8859 0.3553  0.00
F 0.5805 0.1141 0.6447  0.00
F 0.3393 0.3553 0.8859  0.00
F 0.0805 0.1447 0.6141  0.00
F 0.6607 0.6447 0.1141  0.00
F 0.9195 0.8553 0.3859  0.00
F 0.1607 0.6141 0.1447  0.00
F 0.8393 0.3859 0.8553  0.00

calculated volume	429	Å³ per cell
theoretical density	3.2	Mg/m³
E_tot	-5.00	eV/atom

---

Entry 12:
# VZn2AgF8

A relaxed VZn2AgF8 crystal (GGA+U, the Alexandria database).

Lattice parameters (Å, degrees): 6.0887 6.0887 6.0887 106.65 106.65 115.27
Last column: magnetic moment on the atom in μB.
Element x y z (fractional)
V 0.0000 0.0000 0.0000  1.91
Zn 0.7500 0.2500 0.5000  0.00
Zn 0.5000 0.5000 0.0000  0.00
Ag 0.2500 0.7500 0.5000  -0.02
F 0.3679 0.0954 0.2725  0.00
F 0.2765 0.4519 0.1753  0.00
F 0.2765 0.1012 0.8247  0.00
F 0.8229 0.0954 0.7275  0.00
F 0.8988 0.7235 0.1753  0.00
F 0.9046 0.1771 0.2725  0.00
F 0.9046 0.6321 0.7275  0.00
F 0.5481 0.7235 0.8247  0.00

calculated volume	172	Å³ per cell
theoretical density	4.3	Mg/m³
E_tot	-4.44	eV/atom

---

Entry 13:
# VZnAgF6

A relaxed VZnAgF6 crystal (GGA+U, the Alexandria database).

Lattice parameters (Å, degrees): 5.4472 5.4472 10.2355 90.00 90.00 120.00
Last column: magnetic moment on the atom in μB.
Element x y z (fractional)
V 0.3333 0.6667 0.2500  1.97
V 0.6667 0.3333 0.7500  1.97
Zn 0.6667 0.3333 0.2500  0.01
Zn 0.3333 0.6667 0.7500  0.01
Ag 0.0000 0.0000 0.0000  -0.02
Ag 0.0000 0.0000 0.5000  -0.02
F 0.6228 0.6346 0.1449  -0.01
F 0.0118 0.3772 0.1449  -0.01
F 0.3772 0.0118 0.6449  -0.01
F 0.9882 0.6228 0.8551  -0.01
F 0.3654 0.3772 0.3551  -0.01
F 0.0118 0.6346 0.3551  -0.01
F 0.6346 0.0118 0.8551  -0.01
F 0.6228 0.9882 0.3551  -0.01
F 0.9882 0.3654 0.6449  -0.01
F 0.3654 0.9882 0.1449  -0.01
F 0.6346 0.6228 0.6449  -0.01
F 0.3772 0.3654 0.8551  -0.01

calculated volume	263	Å³ per cell
theoretical density	4.3	Mg/m³
E_tot	-4.73	eV/atom

---

Entry 14:
# AgW2F

A relaxed AgW2F crystal (GGA+U, the Alexandria database).

Lattice parameters (Å, degrees): 4.4595 4.4595 4.4595 60.00 60.00 60.00
Element x y z (fractional)
Ag 0.5000 0.5000 0.5000
W 0.2500 0.2500 0.2500
W 0.7500 0.7500 0.7500
F 0.0000 0.0000 0.0000

calculated volume	63	Å³ per cell
excess energy over the best structure of this formula in the dataset	269	meV per atom
theoretical density	13.1	Mg/m³
E_tot	-3.58	eV/atom

---

Entry 15:
# Ag2WF8

A relaxed Ag2WF8 crystal (GGA+U, the Alexandria database).

Lattice parameters (Å, degrees): 4.4630 7.0341 7.0341 74.89 89.86 89.86
Element x y z (fractional)
W 0.0000 0.0000 0.0000
Ag 0.2716 0.6120 0.6120
Ag 0.7284 0.3880 0.3880
F 0.2339 0.9151 0.2289
F 0.2339 0.2289 0.9151
F 0.7661 0.0849 0.7711
F 0.2286 0.3849 0.3849
F 0.7661 0.7711 0.0849
F 0.2506 0.8640 0.8640
F 0.7494 0.1360 0.1360
F 0.7714 0.6151 0.6151

calculated volume	213	Å³ per cell
theoretical density	4.3	Mg/m³
E_tot	-4.49	eV/atom

---

Entry 16:
# Ag4WF10

A relaxed Ag4WF10 crystal (GGA+U, the Alexandria database).

Lattice parameters (Å, degrees): 5.7641 6.9342 6.9342 80.05 65.44 65.44
Element x y z (fractional)
Ag 0.4203 0.7718 0.3876
Ag 0.8079 0.6124 0.7718
Ag 0.1921 0.3876 0.2282
Ag 0.5797 0.2282 0.6124
W 0.0000 0.0000 0.0000
F 0.2500 0.5000 0.5000
F 0.6899 0.2574 0.9574
F 0.0527 0.0426 0.2574
F 0.3527 0.9574 0.7426
F 0.9047 0.7426 0.0426
F 0.3101 0.7426 0.0426
F 0.7500 0.5000 0.5000
F 0.0953 0.2574 0.9574
F 0.6473 0.0426 0.2574
F 0.9473 0.9574 0.7426

calculated volume	229	Å³ per cell
theoretical density	5.8	Mg/m³
E_tot	-4.12	eV/atom

---

Entry 17:
# AgW2F

A relaxed AgW2F crystal (GGA+U, the Alexandria database).

Lattice parameters (Å, degrees): 7.1830 7.1830 5.7149 51.06 51.06 90.00
Last column: magnetic moment on the atom in μB.
Element x y z (fractional)
Ag 0.0000 0.0000 0.0000  0.01
Ag 0.7500 0.2500 0.5000  0.01
W 0.5608 0.1250 0.2500  1.21
W 0.1892 0.6250 0.2500  1.21
W 0.3750 0.4392 0.7500  1.21
W 0.8750 0.8108 0.7500  1.21
F 0.5000 0.5000 0.0000  0.03
F 0.2500 0.7500 0.5000  0.03

calculated volume	135	Å³ per cell
excess energy over the best structure of this formula in the dataset	0	meV per atom
theoretical density	12.2	Mg/m³
E_tot	-3.85	eV/atom

---

Entry 18:
# AgWF6

A relaxed AgWF6 crystal (GGA+U, the Alexandria database).

Lattice parameters (Å, degrees): 5.5566 5.6380 6.3036 61.97 62.78 60.28
Last column: magnetic moment on the atom in μB.
Element x y z (fractional)
Ag 0.5000 0.5000 0.5000  -0.03
W 0.0000 0.0000 0.0000  0.97
F 0.0840 0.3536 0.7781  0.02
F 0.7814 0.0781 0.7931  0.01
F 0.6648 0.2080 0.2166  0.00
F 0.2186 0.9219 0.2069  0.01
F 0.9160 0.6464 0.2219  0.02
F 0.3352 0.7920 0.7834  0.00

calculated volume	145	Å³ per cell
excess energy over the best structure of this formula in the dataset	0	meV per atom
theoretical density	4.7	Mg/m³
E_tot	-4.97	eV/atom

---

Entry 19:
# AgWF6

A relaxed AgWF6 crystal (GGA+U, the Alexandria database).

Lattice parameters (Å, degrees): 5.0549 5.0549 5.4477 76.03 76.03 82.08
Last column: magnetic moment on the atom in μB.
Element x y z (fractional)
Ag 0.5000 0.5000 0.5000  -0.03
W 0.0000 0.0000 0.0000  0.98
F 0.1403 0.7280 0.2720  0.02
F 0.7280 0.1403 0.2720  0.02
F 0.2720 0.8597 0.7280  0.02
F 0.8597 0.2720 0.7280  0.02
F 0.2478 0.2478 0.0082  -0.01
F 0.7522 0.7522 0.9918  -0.01

calculated volume	131	Å³ per cell
excess energy over the best structure of this formula in the dataset	23	meV per atom
theoretical density	5.2	Mg/m³
E_tot	-4.95	eV/atom

---

Entry 20:
# AgWF5

A relaxed AgWF5 crystal (GGA+U, the Alexandria database).

Lattice parameters (Å, degrees): 5.9370 5.9370 8.2699 70.99 70.99 73.37
Last column: magnetic moment on the atom in μB.
Element x y z (fractional)
Ag 0.5217 0.4783 0.7500  -0.03
Ag 0.4783 0.5217 0.2500  -0.03
W 0.0000 0.0000 0.0000  1.93
W 0.0000 0.0000 0.5000  1.93
F 0.2488 0.2043 0.8900  0.02
F 0.2952 0.7381 0.5151  0.01
F 0.2043 0.2488 0.3900  0.02
F 0.9503 0.0497 0.7500  0.03
F 0.2619 0.7048 0.9849  0.01
F 0.7381 0.2952 0.0151  0.01
F 0.0497 0.9503 0.2500  0.03
F 0.7957 0.7512 0.6100  0.02
F 0.7048 0.2619 0.4849  0.01
F 0.7512 0.7957 0.1100  0.02

calculated volume	255	Å³ per cell
theoretical density	5.0	Mg/m³
E_tot	-5.01	eV/atom